1.
# H2SeCl | Alexandria via LeMat-Bulk | GGA-PBE | optimized geometry
# - E above lowest polymorph (meV/atom) = 702.8
# - total magnetization (μB per formula unit) = 0.0
data_H2SeCl
_symmetry_space_group_name_H-M 'R -3 m'
_symmetry_Int_Tables_number 166
_symmetry_space_group_name_Hall '-R 3 2"'
_cell_length_a 3.2408
_cell_length_b 3.2408
_cell_length_c 17.6802
_cell_angle_alpha 90.00
_cell_angle_beta 90.00
_cell_angle_gamma 120.00
loop_
_atom_site_label
_atom_site_type_symbol
_atom_site_fract_x
_atom_site_fract_y
_atom_site_fract_z
H1 H 0.0000 0.0000 0.0861
Se1 Se 0.0000 0.0000 0.5000
Cl1 Cl 0.0000 0.0000 0.0000

2.
# Rb2AlZn | Alexandria via LeMat-Bulk | GGA-PBE | optimized geometry
# - E above lowest polymorph (meV/atom) = 0.0
# - total magnetization (μB per formula unit) = 0.0
# - energy relative to the elements (eV per atom) = 0.2351
data_Rb2AlZn
_symmetry_space_group_name_H-M 'I -4 2 d'
_symmetry_Int_Tables_number 122
_symmetry_space_group_name_Hall 'I -4 2bw'
_cell_length_a 13.5497
_cell_length_b 13.5497
_cell_length_c 4.8101
_cell_angle_alpha 90.00
_cell_angle_beta 90.00
_cell_angle_gamma 90.00
loop_
_atom_site_label
_atom_site_type_symbol
_atom_site_fract_x
_atom_site_fract_y
_atom_site_fract_z
Rb1 Rb 0.0610 0.7500 0.1250
Al1 Al 0.0000 0.0000 0.5000
Zn1 Zn 0.0000 0.0000 0.0000

3.
# CaMg4W | Alexandria via LeMat-Bulk | GGA-PBE | optimized geometry
# - total magnetization (μB per formula unit) = 3.5
# - energy relative to the elements (eV per atom) = 0.5232
data_CaMg4W
_symmetry_space_group_name_H-M 'F -4 3 m'
_symmetry_Int_Tables_number 216
_symmetry_space_group_name_Hall 'F -4 2 3'
_cell_length_a 8.1465
_cell_length_b 8.1465
_cell_length_c 8.1465
_cell_angle_alpha 90.00
_cell_angle_beta 90.00
_cell_angle_gamma 90.00
loop_
_atom_site_label
_atom_site_type_symbol
_atom_site_fract_x
_atom_site_fract_y
_atom_site_fract_z
Ca1 Ca 0.0000 0.0000 0.0000
Mg1 Mg 0.1237 0.1237 0.6237
W1 W 0.2500 0.2500 0.2500

4.
# BaSrLi2Ag | Alexandria via LeMat-Bulk | GGA-PBE | optimized geometry
# - E above lowest polymorph (meV/atom) = 0.0
# - total magnetization (μB per formula unit) = 0.0
# - energy relative to the elements (eV per atom) = -0.0728
data_BaSrLi2Ag
_symmetry_space_group_name_H-M 'I m m 2'
_symmetry_Int_Tables_number 44
_cell_length_a 4.4465
_cell_length_b 5.2321
_cell_length_c 14.8914
_cell_angle_alpha 90.00
_cell_angle_beta 90.00
_cell_angle_gamma 90.00
loop_
_symmetry_equiv_pos_as_xyz
'x,y,z'
'-x,-y,z'
'-x,y,z'
'x,-y,z'
'x+1/2,y+1/2,z+1/2'
'-x+1/2,-y+1/2,z+1/2'
'-x+1/2,y+1/2,z+1/2'
'x+1/2,-y+1/2,z+1/2'
loop_
_atom_site_label
_atom_site_type_symbol
_atom_site_fract_x
_atom_site_fract_y
_atom_site_fract_z
Ba1 Ba 0.0000 0.0000 0.0000
Sr1 Sr 0.0000 0.5000 0.7681
Li1 Li 0.0000 0.0000 0.6140
Li2 Li 0.0000 0.5000 0.2918
Ag1 Ag 0.0000 0.0000 0.4261

5.
# ScTaHg2 | Alexandria via LeMat-Bulk | GGA-PBE | optimized geometry
# - E above lowest polymorph (meV/atom) = 108.4
# - total magnetization (μB per formula unit) = 0.0
# - energy relative to the elements (eV per atom) = 0.1533
data_ScTaHg2
_symmetry_space_group_name_H-M 'P 1 2/m 1'
_symmetry_Int_Tables_number 10
_cell_length_a 5.2344
_cell_length_b 3.1153
_cell_length_c 5.5214
_cell_angle_alpha 90.00
_cell_angle_beta 111.57
_cell_angle_gamma 90.00
loop_
_symmetry_equiv_pos_as_xyz
'x,y,z'
'-x,-y,-z'
'-x,y,-z'
'x,-y,z'
loop_
_atom_site_label
_atom_site_type_symbol
_atom_site_fract_x
_atom_site_fract_y
_atom_site_fract_z
Sc1 Sc 0.0000 0.0000 0.0000
Ta1 Ta 0.0000 0.5000 0.5000
Hg1 Hg 0.5000 0.0000 0.5000
Hg2 Hg 0.5000 0.5000 0.0000

6.
# EuB3O6 | Alexandria via LeMat-Bulk | GGA-PBE | optimized geometry
# - total magnetization (μB per formula unit) = 6.0
# - ΔE_f (raw) (eV/f.u.) = -25.44
data_EuB3O6
_symmetry_space_group_name_H-M 'C 1 2/c 1'
_symmetry_Int_Tables_number 15
_cell_length_a 10.1851
_cell_length_b 8.4458
_cell_length_c 6.3815
_cell_angle_alpha 90.00
_cell_angle_beta 128.72
_cell_angle_gamma 90.00
loop_
_symmetry_equiv_pos_as_xyz
'x,y,z'
'-x,-y,-z'
'-x,y,-z+1/2'
'x,-y,z+1/2'
'x+1/2,y+1/2,z'
'-x+1/2,-y+1/2,-z'
'-x+1/2,y+1/2,-z+1/2'
'x+1/2,-y+1/2,z+1/2'
loop_
_atom_site_label
_atom_site_type_symbol
_atom_site_fract_x
_atom_site_fract_y
_atom_site_fract_z
Eu1 Eu 0.0000 0.2490 0.2500
B1 B 0.0000 0.2494 0.7500
B2 B 0.2495 0.4313 0.1087
O1 O 0.1002 0.1510 0.7058
O2 O 0.1001 0.3474 0.9943
O3 O 0.2490 0.4154 0.5520

> The highest total magnetization belongs to which entry?

EuB3O6

> What is the formula in the second record?

Rb2AlZn

What did the third record say?
# CaMg4W | Alexandria via LeMat-Bulk | GGA-PBE | optimized geometry
# - total magnetization (μB per formula unit) = 3.5
# - energy relative to the elements (eV per atom) = 0.5232
data_CaMg4W
_symmetry_space_group_name_H-M 'F -4 3 m'
_symmetry_Int_Tables_number 216
_symmetry_space_group_name_Hall 'F -4 2 3'
_cell_length_a 8.1465
_cell_length_b 8.1465
_cell_length_c 8.1465
_cell_angle_alpha 90.00
_cell_angle_beta 90.00
_cell_angle_gamma 90.00
loop_
_atom_site_label
_atom_site_type_symbol
_atom_site_fract_x
_atom_site_fract_y
_atom_site_fract_z
Ca1 Ca 0.0000 0.0000 0.0000
Mg1 Mg 0.1237 0.1237 0.6237
W1 W 0.2500 0.2500 0.2500